DFT (PBE) results for a relaxed structure of LaAsRuSe2.

Computed properties:
E = -21.52 eV/f.u.
Formation energy without anion corrections = 0.8605 eV per atom
Space group = No. 123
DOS at the Fermi energy = 7.4 states/eV per cell

a b c (Å): 5.6605 5.6605 5.6988
angles (deg): 90.00 90.00 90.00
Closest atoms and distances in Å follow each position.
Sites, in units of the cell vectors:
La1 0.0000 0.0000 0.0000  4 Se 2.83, 2 As 2.85
As1 0.0000 0.0000 0.5000  2 La 2.85
Ru1 0.5000 0.5000 0.5000  4 As 4.00, 8 Se 4.02
Se1 0.0000 0.5000 0.0000  2 La 2.83
Se2 0.5000 0.0000 0.0000  2 La 2.83